1.
An optimized crystal structure of TbPmNd2. Source: Alexandria via LeMat-Bulk, functional GGA-PBE.

Values from the calculation:
- DFT formation energy (eV per atom) = 0.05
- space-group type = Amm2 (38)
- ΔE to the lowest computed polymorph (kcal/mol of atoms) = 0.90

abc: 3.5851 5.6785 6.9656
angles: 90.00 104.91 90.00
Atoms (fractional coordinates):
1 Tb 0.4461 0.0000 0.8921
2 Pm 0.8057 0.5000 0.6113
3 Nd 0.0613 0.5000 0.1226
4 Nd 0.1870 0.0000 0.3739

***

2.
An optimized crystal structure of Tb2Pm3Nd2. Source: Alexandria via LeMat-Bulk, functional GGA-PBE.

Values from the calculation:
- DFT formation energy (eV per atom) = 0.10
- space-group type = C2/m (12)
- ΔE to the lowest computed polymorph (kcal/mol of atoms) = 0.40

abc: 3.5416 8.7648 9.0202
angles: 118.38 101.32 90.00
Atoms (fractional coordinates):
1 Tb 0.5644 0.9061 0.1289
2 Tb 0.4356 0.0939 0.8711
3 Pm 0.0000 0.5000 0.0000
4 Pm 0.2130 0.8047 0.4260
5 Pm 0.7870 0.1953 0.5740
6 Nd 0.8544 0.6749 0.7089
7 Nd 0.1456 0.3251 0.2911

***

3.
An optimized crystal structure of Tb6PmNd3. Source: Alexandria via LeMat-Bulk, functional GGA-PBE.

Values from the calculation:
- DFT formation energy (eV per atom) = 0.15
- space-group type = Cmc2_1 (36)
- ΔE to the lowest computed polymorph (kcal/mol of atoms) = 0.00

abc: 6.3934 11.0076 11.0076
angles: 119.97 90.00 90.00
Atoms (fractional coordinates):
1 Tb 0.0487 0.7122 0.6234
2 Tb 0.5487 0.6234 0.7122
3 Tb 0.3731 0.5291 0.9474
4 Tb 0.8731 0.9474 0.5291
5 Tb 0.3659 0.9620 0.0380
6 Tb 0.6506 0.2728 0.7272
7 Tb 0.1506 0.7272 0.2728
8 Tb 0.8659 0.0380 0.9620
9 Tb 0.3731 0.0526 0.4709
10 Tb 0.8731 0.4709 0.0526
11 Tb 0.0487 0.3766 0.2878
12 Tb 0.5487 0.2878 0.3766
13 Pm 0.1273 0.1933 0.8067
14 Pm 0.6273 0.8067 0.1933
15 Nd 0.4625 0.9372 0.7087
16 Nd 0.9625 0.7087 0.9372
17 Nd 0.0730 0.3873 0.6127
18 Nd 0.5730 0.6127 0.3873
19 Nd 0.9625 0.0628 0.2913
20 Nd 0.4625 0.2913 0.0628

***

4.
An optimized crystal structure of TbPm12Nd2. Source: Alexandria via LeMat-Bulk, functional GGA-PBE.

Values from the calculation:
- DFT formation energy (eV per atom) = 0.31
- space-group type = P4/nbm (125)

abc: 6.5651 6.5651 25.4499
angles: 90.00 90.00 90.00
Atoms (fractional coordinates):
1 Tb 0.5000 0.0000 0.0000
2 Tb 0.0000 0.5000 0.0000
3 Pm 0.5000 0.5000 0.7854
4 Pm 0.0000 0.0000 0.7854
5 Pm 0.8146 0.6854 0.8863
6 Pm 0.3146 0.8146 0.8863
7 Pm 0.0000 0.0000 0.3379
8 Pm 0.1854 0.6854 0.1137
9 Pm 0.8325 0.3325 0.5619
10 Pm 0.5000 0.5000 0.3379
11 Pm 0.1854 0.3146 0.8863
12 Pm 0.6854 0.8146 0.1137
13 Pm 0.3325 0.1675 0.5619
14 Pm 0.6675 0.1675 0.4381
15 Pm 0.0000 0.0000 0.6621
16 Pm 0.1675 0.3325 0.4381
17 Pm 0.3146 0.1854 0.1137
18 Pm 0.8325 0.6675 0.4381
19 Pm 0.6675 0.8325 0.5619
20 Pm 0.0000 0.0000 0.2146
21 Pm 0.1675 0.6675 0.5619
22 Pm 0.5000 0.5000 0.6621
23 Pm 0.6854 0.1854 0.8863
24 Pm 0.5000 0.5000 0.2146
25 Pm 0.3325 0.8325 0.4381
26 Pm 0.8146 0.3146 0.1137
27 Nd 0.5000 0.0000 0.2677
28 Nd 0.0000 0.5000 0.2677
29 Nd 0.0000 0.5000 0.7323
30 Nd 0.5000 0.0000 0.7323

***

Please write out number 1 again, unchanged.
An optimized crystal structure of TbPmNd2. Source: Alexandria via LeMat-Bulk, functional GGA-PBE.

Values from the calculation:
- DFT formation energy (eV per atom) = 0.05
- space-group type = Amm2 (38)
- ΔE to the lowest computed polymorph (kcal/mol of atoms) = 0.90

abc: 3.5851 5.6785 6.9656
angles: 90.00 104.91 90.00
Atoms (fractional coordinates):
1 Tb 0.4461 0.0000 0.8921
2 Pm 0.8057 0.5000 0.6113
3 Nd 0.0613 0.5000 0.1226
4 Nd 0.1870 0.0000 0.3739

***

Copy entry 3 word for word.
An optimized crystal structure of Tb6PmNd3. Source: Alexandria via LeMat-Bulk, functional GGA-PBE.

Values from the calculation:
- DFT formation energy (eV per atom) = 0.15
- space-group type = Cmc2_1 (36)
- ΔE to the lowest computed polymorph (kcal/mol of atoms) = 0.00

abc: 6.3934 11.0076 11.0076
angles: 119.97 90.00 90.00
Atoms (fractional coordinates):
1 Tb 0.0487 0.7122 0.6234
2 Tb 0.5487 0.6234 0.7122
3 Tb 0.3731 0.5291 0.9474
4 Tb 0.8731 0.9474 0.5291
5 Tb 0.3659 0.9620 0.0380
6 Tb 0.6506 0.2728 0.7272
7 Tb 0.1506 0.7272 0.2728
8 Tb 0.8659 0.0380 0.9620
9 Tb 0.3731 0.0526 0.4709
10 Tb 0.8731 0.4709 0.0526
11 Tb 0.0487 0.3766 0.2878
12 Tb 0.5487 0.2878 0.3766
13 Pm 0.1273 0.1933 0.8067
14 Pm 0.6273 0.8067 0.1933
15 Nd 0.4625 0.9372 0.7087
16 Nd 0.9625 0.7087 0.9372
17 Nd 0.0730 0.3873 0.6127
18 Nd 0.5730 0.6127 0.3873
19 Nd 0.9625 0.0628 0.2913
20 Nd 0.4625 0.2913 0.0628

***

Which of these has the highest DFT formation energy?
TbPm12Nd2